No. 1
## AcNd2SmAs4 (PBE-GGA)

Data for AcNd2SmAs4 after structural relaxation.

Output
- DFT formation energy: -1145 kJ/mol of formula units
- Final energy: -6.1038 eV per atom
- V: 230.0 Å³/f.u.
- Magnetic moment: 0.000 μB/atom

CIF file:
```
data_AcNd2SmAs4
_chemical_formula_sum 'Ac1 Nd2 Sm1 As4'
_space_group_name_H-M_alt 'P 1 2/m 1'
_space_group_IT_number 10
_cell_length_a 7.5020
_cell_length_b 4.3328
_cell_length_c 7.5021
_cell_angle_alpha 90.00
_cell_angle_beta 109.39
_cell_angle_gamma 90.00
loop_
_space_group_symop_operation_xyz
'x,y,z'
'-x,-y,-z'
'-x,y,-z'
'x,-y,z'
loop_
_atom_site_label
_atom_site_type_symbol
_atom_site_fract_x
_atom_site_fract_y
_atom_site_fract_z
Ac1 Ac 0.0000 0.0000 0.0000
Nd1 Nd 0.0000 0.5000 0.5000
Nd2 Nd 0.5000 0.0000 0.5000
Sm1 Sm 0.5000 0.5000 0.0000
As1 As 0.2567 0.0000 0.7477
As2 As 0.2607 0.5000 0.2582
```

No. 2
## SrAcNd2As4 (PBE-GGA)

Data for SrAcNd2As4 after structural relaxation.

Output
- DFT formation energy: -1029 kJ/mol of formula units
- Final energy: -5.5731 eV per atom
- V: 240.6 Å³/f.u.
- Magnetic moment: 0.000 μB/atom

CIF file:
```
data_SrAcNd2As4
_chemical_formula_sum 'Sr1 Ac1 Nd2 As4'
_space_group_name_H-M_alt 'P 1 2/m 1'
_space_group_IT_number 10
_cell_length_a 7.5778
_cell_length_b 4.3846
_cell_length_c 7.6704
_cell_angle_alpha 90.00
_cell_angle_beta 109.29
_cell_angle_gamma 90.00
loop_
_space_group_symop_operation_xyz
'x,y,z'
'-x,-y,-z'
'-x,y,-z'
'x,-y,z'
loop_
_atom_site_label
_atom_site_type_symbol
_atom_site_fract_x
_atom_site_fract_y
_atom_site_fract_z
Sr1 Sr 0.0000 0.0000 0.0000
Ac1 Ac 0.5000 0.5000 0.0000
Nd1 Nd 0.0000 0.5000 0.5000
Nd2 Nd 0.5000 0.0000 0.5000
As1 As 0.2456 0.0000 0.7344
As2 As 0.2570 0.5000 0.2668
```